A plane-wave DFT calculation with PBE-GGA was carried out for a relaxed structure of MgMn2Zn.

Results
Space group   I4/mmm
Energy   -20.463 eV/cell
N(E_F)   3.2 states/eV/cell
Energy of formation from the pure elements   186 meV per atom

a b c (Å): 4.7054 4.7054 4.7054
angles (deg): 129.91 129.91 73.56
Site moments in Bohr magnetons follow the coordinates.
Fractional coordinates of all 4 atoms:
Mg1 0.7500 0.2500 0.5000  -0.05
Mn1 0.0000 0.0000 0.0000  3.17
Mn2 0.5000 0.5000 0.0000  3.17
Zn1 0.2500 0.7500 0.5000  -0.09